PBE Lu4GaCoN2, optimized geometry; calculated volume = 17.2 Å³ per atom; final energy = -6.56 eV/atom; total magnetization = 0.427 μB/cell; theoretical density = 10.33 g cm⁻³
1.0
3.352 0.000 0.000
-1.676 2.903 0.000
0.000 0.000 14.146
Lu Ga Co N
4 1 1 2
Cartesian
0.000 0.000 1.948
0.000 0.000 12.198
0.000 1.935 4.664
0.000 1.935 9.482
0.000 0.000 7.073
0.000 1.935 0.000
1.676 0.968 3.448
1.676 0.968 10.698

=====

PBE LuMgCoGe, optimized geometry; energy above the lowest structure with this stoichiometry = 0.0 meV per atom; calculated volume = 17.6 Å³ per atom; total magnetization = 0.926 μB/cell; theoretical density = 7.80 g cm⁻³
1.0
0.000 3.278 3.278
3.278 0.000 3.278
3.278 3.278 0.000
Lu Mg Co Ge
1 1 1 1
Cartesian
0.000 0.000 0.000
3.278 3.278 3.278
4.918 4.918 4.918
1.639 1.639 1.639

=====

> What is the calculated volume in the second record?

17.6 Å³ per atom